Pr2Cd3Ag | GGA-PBE | optimized geometry

The space group is Pmm2 (No. 25) and the conventional cell measures 3.4759, 5.0529 and 8.7644 Å, with angles of 90.00, 90.00 and 90.00 degrees. The inequivalent atoms are Pr at (0.0000, 0.0000, 0.0000), Pr at (0.0000, 0.5000, 0.4845), Cd at (0.5000, 0.0000, 0.6573), Cd at (0.5000, 0.5000, 0.1598), Cd at (0.5000, 0.5000, 0.8243) and Ag at (0.5000, 0.0000, 0.3261).

As for the formation energy: -0.3273 eV/atom.